Al2SnPbS6 | GGA-PBE | optimized geometry

Its size of the total moment is 0.000 μB/cell. For the uncorrected formation energy, the calculation gives -672 meV/atom. The total DFT energy (no corrections) is -186.72 eV per cell.

Cell lengths 11.5975, 13.3773, 7.1475 Å; angles 90.00, 113.37, 90.00 degrees
With the nearest neighbours (Å) after each atom.
Space group C2/c (No. 15)
One atom of each set of equivalent atoms:
Al 0.1089 0.0764 0.1506  4 S 2.29-2.40
Sn 0.0000 0.3093 0.7500  4 S 2.43-2.46
Pb 0.0000 0.4019 0.2500  6 S 2.93-3.13
S 0.1164 0.0687 0.4825  3 Al 2.30-2.40
S 0.1298 0.2409 0.0814  1 Al 2.29, 1 Sn 2.43
S 0.1440 0.4290 0.6939  1 Sn 2.46, 1 Al 2.63